Run P
Here is a geometry-optimized MnAs3P structure from the Alexandria database. Energies are from PBE.

a = 4.5419 Å, b = 4.5419 Å, c = 4.5419 Å
α = 90.00°, β = 90.00°, γ = 90.00°
With the nearest neighbours (Å) after each atom.
Space group Pm-3m (No. 221)
Inequivalent atoms, fractional coordinates:
Mn  0.0000  0.0000  0.0000 x1  6 As 2.27
As  0.0000  0.0000  0.5000 x3  2 Mn 2.27
P  0.5000  0.5000  0.5000 x1  12 As 3.21

density = 5.51 g/cm3
volume = 94 Å³ per cell

=====

Run Q
Here is a geometry-optimized MnAs3P structure from the Alexandria database. Energies are from PBE.

a = 4.6606 Å, b = 4.6606 Å, c = 4.6606 Å
α = 90.00°, β = 90.00°, γ = 90.00°
With the nearest neighbours (Å) after each atom.
Space group Pm-3m (No. 221)
Inequivalent atoms, fractional coordinates:
Mn  0.0000  0.0000  0.0000 x1  12 As 3.30
As  0.0000  0.5000  0.5000 x3  2 P 2.33
P  0.5000  0.5000  0.5000 x1  6 As 2.33

density = 5.10 g/cm3
volume = 101 Å³ per cell

=====

Energies, relative to the best one, in meV/atom: run P 0; run Q 668.

=====

Run P
Here is a geometry-optimized MnAsPS2 structure from the Alexandria database. Energies are from PBE.

a = 4.2393 Å, b = 4.2393 Å, c = 4.8808 Å
α = 90.00°, β = 90.00°, γ = 90.00°
With the nearest neighbours (Å) after each atom.
Space group P4/mmm (No. 123)
Inequivalent atoms, fractional coordinates:
Mn  0.0000  0.0000  0.0000 x1  4 S 2.12
As  0.5000  0.5000  0.5000 x1  4 P 3.00, 8 S 3.23
P  0.0000  0.0000  0.5000 x1  2 Mn 2.44
S  0.0000  0.5000  0.0000 x2  2 Mn 2.12

density = 4.26 g/cm3
volume = 88 Å³ per cell

=====

Run Q
Here is a geometry-optimized MnAsPS2 structure from the Alexandria database. Energies are from PBE.

a = 4.7313 Å, b = 4.7313 Å, c = 4.7039 Å
α = 90.00°, β = 90.00°, γ = 90.00°
With the nearest neighbours (Å) after each atom.
Space group P4/mmm (No. 123)
Inequivalent atoms, fractional coordinates:
Mn  0.0000  0.0000  0.0000 x1  8 S 3.34, 4 P 3.35
As  0.5000  0.5000  0.5000 x1  2 P 2.35, 4 S 2.37
P  0.5000  0.5000  0.0000 x1  2 As 2.35
S  0.0000  0.5000  0.5000 x2  2 As 2.37

density = 3.55 g/cm3
volume = 105 Å³ per cell

=====

Energies, relative to the best one, in meV/atom: run P 0; run Q 247.

=====

Run P
Here is a geometry-optimized MnAsPb2 structure from the Alexandria database. Energies are from PBE.

a = 6.6169 Å, b = 6.6169 Å, c = 12.1797 Å
α = 90.00°, β = 90.00°, γ = 90.00°
With the nearest neighbours (Å) after each atom.
Space group I-42d (No. 122)
Inequivalent atoms, fractional coordinates:
Mn  0.0000  0.0000  0.0000 x4  4 Pb 2.78
As  0.0000  0.0000  0.5000 x4  4 Pb 2.80
Pb  0.2474  0.2500  0.1250 x8  2 Mn 2.78, 2 As 2.80

density = 6.78 g/cm3
volume = 533 Å³ per cell

=====

Run Q
Here is a geometry-optimized MnAsPb2 structure from the Alexandria database. Energies are from PBE.

a = 3.3806 Å, b = 3.3806 Å, c = 29.3085 Å
α = 90.00°, β = 90.00°, γ = 120.00°
With the nearest neighbours (Å) after each atom.
Space group R-3m (No. 166, hexagonal axes)
Inequivalent atoms, fractional coordinates:
Mn  0.0000  0.0000  0.0000 x3  6 Pb 3.02, 6 Mn 3.38
As  0.0000  0.0000  0.5000 x3  6 Pb 3.24, 6 As 3.38
Pb  0.0000  0.0000  0.2548 x6  3 Mn 3.02, 3 As 3.24, 6 Pb 3.38

density = 9.35 g/cm3
volume = 290 Å³ per cell

=====

Energies, relative to the best one, in meV/atom: run P 26; run Q 0.

=====

Run P
Here is a geometry-optimized MnAsPb2 structure from the Alexandria database. Energies are from PBE.

a = 4.9010 Å, b = 4.9138 Å, c = 7.8518 Å
α = 90.00°, β = 90.00°, γ = 90.00°
With the nearest neighbours (Å) after each atom.
Space group Cmmm (No. 65)
Inequivalent atoms, fractional coordinates:
Mn  0.0000  0.0000  0.0000 x2  8 Pb 3.06-3.07
As  0.0000  0.0000  0.5000 x2  8 Pb 3.22-3.23, 4 As 3.47
Pb  0.0000  0.5000  0.2338 x4  4 Mn 3.06-3.07, 4 As 3.22-3.23

density = 9.56 g/cm3
volume = 189 Å³ per cell

=====

Run Q
Here is a geometry-optimized MnAsPb2 structure from the Alexandria database. Energies are from PBE.

a = 4.3522 Å, b = 4.0418 Å, c = 5.9427 Å
α = 90.00°, β = 111.48°, γ = 90.00°
With the nearest neighbours (Å) after each atom.
Space group Pm (No. 6)
Inequivalent atoms, fractional coordinates:
Mn  0.0000  0.0000  0.0000 x1  2 As 2.55
As  0.1420  0.5000  0.2810 x1  2 Mn 2.55
Pb  0.4216  0.5000  0.8407 x1  4 Mn 3.09-3.10, 3 As 3.10-3.27
Pb  0.7248  0.0000  0.4489 x1  3 Mn 3.05-3.30, 4 As 3.11

density = 9.29 g/cm3
volume = 97 Å³ per cell

=====

Energies, relative to the best one, in meV/atom: run P 298; run Q 0.